[1]
DFT (PBE-GGA) results for a relaxed structure of LuInRu.

The space group is I4mm (No. 107) and the conventional cell measures 3.433, 3.433 and 10.186 Å, with angles of 90.00, 90.00 and 90.00 degrees. The asymmetric unit holds Lu at (0.000, 0.000, 0.000), In at (0.000, 0.000, 0.702) and Ru at (0.000, 0.000, 0.351).

The density of states at the Fermi level comes out at 0.8 states/eV per cell. The total energy comes out at -5.8789 eV per atom.

***

[2]
DFT (PBE-GGA) results for a relaxed structure of LuInRu.

The space group is P3m1 (No. 156) and the conventional cell measures 4.6103, 4.6103 and 3.4125 Å, with angles of 90.00, 90.00 and 120.00 degrees. The asymmetric unit holds Lu at (0.0000, 0.0000, 0.0000), In at (0.3333, 0.6667, 0.5001) and Ru at (0.6667, 0.3333, 0.5030).

The density of states at the Fermi level comes out at 2.2 states/eV per cell. The total energy comes out at -5.7106 eV per atom.

***

[3]
DFT (PBE-GGA) results for a relaxed structure of LuScInRu.

The space group is F-43m (No. 216) and the conventional cell measures 6.886, 6.886 and 6.886 Å, with angles of 90.00, 90.00 and 90.00 degrees. The asymmetric unit holds Lu at (0.000, 0.000, 0.000), Sc at (0.000, 0.000, 0.500), In at (0.250, 0.250, 0.250) and Ru at (0.250, 0.250, 0.750).

The density of states at the Fermi level comes out at 14.0 states/eV per cell. The total energy comes out at -6.1176 eV per atom.

***

[4]
DFT (PBE-GGA) results for a relaxed structure of LuInSnRu.

The space group is F-43m (No. 216) and the conventional cell measures 6.853, 6.853 and 6.853 Å, with angles of 90.00, 90.00 and 90.00 degrees. The asymmetric unit holds Lu at (0.000, 0.000, 0.000), In at (0.250, 0.250, 0.250), Sn at (0.250, 0.250, 0.750) and Ru at (0.000, 0.000, 0.500).

The density of states at the Fermi level comes out at 7.1 states/eV per cell. The total energy comes out at -5.3458 eV per atom.

***

[5]
DFT (PBE-GGA) results for a relaxed structure of LuThInRu.

The space group is F-43m (No. 216) and the conventional cell measures 7.257, 7.257 and 7.257 Å, with angles of 90.00, 90.00 and 90.00 degrees. The asymmetric unit holds Lu at (0.000, 0.000, 0.000), Th at (0.000, 0.000, 0.500), In at (0.250, 0.250, 0.750) and Ru at (0.250, 0.250, 0.250).

The density of states at the Fermi level comes out at 15.2 states/eV per cell. The total energy comes out at -6.2319 eV per atom.

***

[6]
DFT (PBE-GGA) results for a relaxed structure of Lu2InS.

The space group is R-3m (No. 166, hexagonal axes) and the conventional cell measures 3.7047, 3.7047 and 23.5693 Å, with angles of 90.00, 90.00 and 120.00 degrees. The asymmetric unit holds Lu at (0.0000, 0.0000, 0.2342), In at (0.0000, 0.0000, 0.0000) and S at (0.0000, 0.0000, 0.5000).

The density of states at the Fermi level comes out at 6.7 states/eV per cell. The formation energy without anion corrections comes out at -1.142 eV per atom.

***

[7]
DFT (PBE-GGA) results for a relaxed structure of LuInS2.

The space group is R-3m (No. 166, hexagonal axes) and the conventional cell measures 3.9063, 3.9063 and 22.5682 Å, with angles of 90.00, 90.00 and 120.00 degrees. The asymmetric unit holds Lu at (0.0000, 0.0000, 0.0000), In at (0.0000, 0.0000, 0.5000) and S at (0.0000, 0.0000, 0.2678).

The formation energy without anion corrections comes out at -1.398 eV per atom.

***

[8]
DFT (PBE-GGA) results for a relaxed structure of Lu3In5Sb12.

The space group is Ia-3d (No. 230) and the conventional cell measures 17.776, 17.776 and 17.776 Å, with angles of 90.00, 90.00 and 90.00 degrees. The asymmetric unit holds Lu at (0.000, 0.250, 0.125), In at (0.000, 0.000, 0.000), In at (0.000, 0.250, 0.375) and Sb at (0.013, 0.083, 0.665).

The density of states at the Fermi level comes out at 98.4 states/eV per cell. The formation energy without anion corrections comes out at -0.120 eV per atom.

***

[9]
DFT (PBE-GGA) results for a relaxed structure of LuInSb2.

The space group is R-3m (No. 166, hexagonal axes) and the conventional cell measures 4.2970, 4.2970 and 21.9340 Å, with angles of 90.00, 90.00 and 120.00 degrees. The asymmetric unit holds Lu at (0.0000, 0.0000, 0.0000), In at (0.0000, 0.0000, 0.5000) and Sb at (0.0000, 0.0000, 0.2505).

The density of states at the Fermi level comes out at 6.5 states/eV per cell. The formation energy without anion corrections comes out at -0.344 eV per atom.

***

[10]
DFT (PBE-GGA) results for a relaxed structure of LuIn2Sb.

The space group is P4/mmm (No. 123) and the conventional cell measures 4.492, 4.492 and 5.060 Å, with angles of 90.00, 90.00 and 90.00 degrees. The asymmetric unit holds Lu at (0.000, 0.000, 0.000), In at (0.000, 0.500, 0.500) and Sb at (0.500, 0.500, 0.000).

For the energy above the most stable polymorph in this dataset, the calculation gives 0 meV/atom. The density of states at the Fermi level comes out at 1.9 states/eV per cell. The formation energy without anion corrections comes out at -0.338 eV per atom.

***

[11]
DFT (PBE-GGA) results for a relaxed structure of LuIn2Sb.

The space group is R-3m (No. 166, hexagonal axes) and the conventional cell measures 3.4007, 3.4007 and 35.2146 Å, with angles of 90.00, 90.00 and 120.00 degrees. The asymmetric unit holds Lu at (0.0000, 0.0000, 0.0000), In at (0.0000, 0.0000, 0.0889) and Sb at (0.0000, 0.0000, 0.5000).

For the energy above the most stable polymorph in this dataset, the calculation gives 516 meV/atom. The density of states at the Fermi level comes out at 11.7 states/eV per cell. The formation energy without anion corrections comes out at 0.178 eV per atom.

***

[12]
DFT (PBE-GGA) results for a relaxed structure of Lu2ScIn.

The space group is P4/mmm (No. 123) and the conventional cell measures 4.687, 4.687 and 4.648 Å, with angles of 90.00, 90.00 and 90.00 degrees. The asymmetric unit holds Lu at (0.000, 0.500, 0.000), Sc at (0.000, 0.000, 0.500) and In at (0.500, 0.500, 0.500).

For the energy above the most stable polymorph in this dataset, the calculation gives 0 meV/atom. The density of states at the Fermi level comes out at 5.2 states/eV per cell.

***

In the order shown, the computed size of the total moment values come out to 0.0 0.0 0.0 0.0 0.0 0.0 0.0 0.0 0.0 0.0 0.0 0.4 μB per cell.
In the order shown, the computed V values come out to 20.01 20.94 20.41 20.11 23.88 23.35 24.85 35.11 29.23 25.53 29.39 25.53 Å³/atom.